# 1
Below is a relaxed MgInPt crystal, with properties calculated at the PBEsol level.

Cell and atoms, written as POSCAR:
```
MgInPt
1.0
4.614 0.000 0.000
-2.307 3.996 0.000
0.000 0.000 2.981
Mg In Pt
1 1 1
direct
0.000 0.000 0.000
0.333 0.667 0.500
0.667 0.333 0.500
```

Values from the calculation:
DFT formation energy in meV per atom: -444
Space group: P-6m2 (187)

# 2
Below is a relaxed MgIn2Pt crystal, with properties calculated at the PBEsol level.

Cell and atoms, written as POSCAR:
```
MgIn2Pt
1.0
3.000 0.000 0.000
0.000 3.519 0.000
0.000 0.000 7.674
Mg In Pt
1 2 1
direct
0.000 0.000 0.000
0.000 0.000 0.406
0.500 0.500 0.714
0.500 0.500 0.189
```

Values from the calculation:
DFT formation energy in meV per atom: -312
Space group: Pmm2 (25)

# 3
Below is a relaxed MgInPt2 crystal, with properties calculated at the PBEsol level.

Cell and atoms, written as POSCAR:
```
MgInPt2
1.0
2.944 0.000 0.000
0.000 4.698 0.000
0.000 0.000 4.765
Mg In Pt
1 1 2
direct
0.000 0.000 0.000
0.000 0.500 0.437
0.500 0.000 0.510
0.500 0.500 0.937
```

Values from the calculation:
DFT formation energy in meV per atom: -633
Space group: Pmm2 (25)

# 4
Below is a relaxed MgSc2InPt crystal, with properties calculated at the PBEsol level.

Cell and atoms, written as POSCAR:
```
MgSc2InPt
1.0
5.048 0.000 0.000
0.000 5.048 0.000
0.000 0.000 5.086
Mg Sc In Pt
1 2 1 1
direct
0.000 0.000 0.000
0.000 0.500 0.500
0.500 0.000 0.500
0.500 0.500 0.000
0.500 0.500 0.500
```

Values from the calculation:
DFT formation energy in meV per atom: -203
Space group: P4/mmm (123)

# 5
Below is a relaxed MgIn2Re crystal, with properties calculated at the PBEsol level.

Cell and atoms, written as POSCAR:
```
MgIn2Re
1.0
2.929 -4.285 0.000
2.929 4.285 0.000
0.000 0.000 2.923
Mg In Re
1 2 1
direct
0.000 0.000 0.000
0.000 0.500 0.500
0.500 0.000 0.500
0.500 0.500 0.000
```

Values from the calculation:
DFT formation energy in meV per atom: 429
Space group: Cmmm (65)

# 6
Below is a relaxed MgIn2Re crystal, with properties calculated at the PBEsol level.

Cell and atoms, written as POSCAR:
```
MgIn2Re
1.0
4.490 0.000 0.000
0.000 4.490 0.000
0.000 0.000 3.635
Mg In Re
1 2 1
direct
0.000 0.000 0.000
0.000 0.500 0.500
0.500 0.000 0.500
0.500 0.500 0.000
```

Values from the calculation:
DFT formation energy in meV per atom: 434
Space group: P4/mmm (123)

# 7
Below is a relaxed MgIn2Re crystal, with properties calculated at the PBEsol level.

Cell and atoms, written as POSCAR:
```
MgIn2Re
1.0
5.211 -1.443 0.000
5.211 1.443 0.000
-0.650 0.000 4.993
Mg In Re
1 2 1
direct
0.000 0.000 0.000
0.532 0.532 0.529
0.762 0.762 0.241
0.275 0.275 0.749
```

Values from the calculation:
DFT formation energy in meV per atom: 357
Space group: Cm (8)

# 8
Below is a relaxed MgIn2Re crystal, with properties calculated at the PBEsol level.

Cell and atoms, written as POSCAR:
```
MgIn2Re
1.0
2.973 0.000 0.000
0.000 2.973 0.000
0.000 0.000 8.743
Mg In Re
1 2 1
direct
0.000 0.000 0.000
0.500 0.500 0.274
0.500 0.500 0.726
0.000 0.000 0.500
```

Values from the calculation:
DFT formation energy in meV per atom: 396
Space group: P4/mmm (123)

# 9
Below is a relaxed MgIn2Re crystal, with properties calculated at the PBEsol level.

Cell and atoms, written as POSCAR:
```
MgIn2Re
1.0
-2.024 2.024 4.469
2.024 -2.024 4.469
2.024 2.024 -4.469
Mg In Re
1 2 1
direct
0.000 0.000 0.000
0.250 0.750 0.500
0.500 0.500 0.000
0.750 0.250 0.500
```

Values from the calculation:
DFT formation energy in meV per atom: 317
Space group: I-4m2 (119)

# 10
Below is a relaxed MgInRh2 crystal, with properties calculated at the PBEsol level.

Cell and atoms, written as POSCAR:
```
MgInRh2
1.0
1.465 0.846 8.925
-1.465 0.846 8.925
0.000 -1.692 8.925
Mg In Rh
1 1 2
direct
0.000 0.000 0.000
0.234 0.234 0.234
0.487 0.487 0.487
0.743 0.743 0.743
```

Values from the calculation:
DFT formation energy in meV per atom: 26
Space group: R3m (160)

# 11
Below is a relaxed MgInRh2 crystal, with properties calculated at the PBEsol level.

Cell and atoms, written as POSCAR:
```
MgInRh2
1.0
0.000 3.136 3.136
3.136 0.000 3.136
3.136 3.136 0.000
Mg In Rh
1 1 2
direct
0.000 0.000 0.000
0.500 0.500 0.500
0.250 0.250 0.250
0.750 0.750 0.750
```

Values from the calculation:
DFT formation energy in meV per atom: -516
Space group: Fm-3m (225)

# 12
Below is a relaxed MgInRh2 crystal, with properties calculated at the PBEsol level.

Cell and atoms, written as POSCAR:
```
MgInRh2
1.0
4.326 -1.480 0.000
4.326 1.480 0.000
-1.011 0.000 4.960
Mg In Rh
1 1 2
direct
0.000 0.000 0.000
0.500 0.500 0.500
0.250 0.250 0.758
0.750 0.750 0.242
```

Values from the calculation:
DFT formation energy in meV per atom: -230
Space group: C2/m (12)

# 13
Below is a relaxed Mg2InRh2 crystal, with properties calculated at the PBEsol level.

Cell and atoms, written as POSCAR:
```
Mg2InRh2
1.0
6.674 0.000 0.000
0.000 6.674 0.000
0.000 0.000 3.955
Mg In Rh
4 2 4
direct
0.160 0.340 0.000
0.340 0.840 0.000
0.660 0.160 0.000
0.840 0.660 0.000
0.000 0.000 0.500
0.500 0.500 0.500
0.137 0.637 0.500
0.363 0.137 0.500
0.637 0.863 0.500
0.863 0.363 0.500
```

Values from the calculation:
DFT formation energy in meV per atom: -391
Space group: P4/mbm (127)

# 14
Below is a relaxed MgInRh2 crystal, with properties calculated at the PBEsol level.

Cell and atoms, written as POSCAR:
```
MgInRh2
1.0
-1.548 2.193 4.682
1.548 -2.193 4.682
1.548 2.193 -4.682
Mg In Rh
1 1 2
direct
0.000 0.000 0.000
0.727 0.227 0.500
0.244 0.744 0.500
0.482 0.482 0.000
```

Values from the calculation:
DFT formation energy in meV per atom: -289
Space group: Imm2 (44)

# 15
Below is a relaxed MgInRh3 crystal, with properties calculated at the PBEsol level.

Cell and atoms, written as POSCAR:
```
MgInRh3
1.0
4.447 0.000 0.000
0.000 4.447 0.000
0.000 0.000 4.447
Mg In Rh
1 1 3
direct
0.000 0.000 0.000
0.500 0.500 0.500
0.000 0.000 0.500
0.000 0.500 0.000
0.500 0.000 0.000
```

Values from the calculation:
DFT formation energy in meV per atom: 862
Space group: Pm-3m (221)

# 16
Below is a relaxed MgInRu3 crystal, with properties calculated at the PBEsol level.

Cell and atoms, written as POSCAR:
```
MgInRu3
1.0
4.822 0.000 0.000
0.000 4.822 0.000
0.000 0.000 4.822
Mg In Ru
1 1 3
direct
0.000 0.000 0.000
0.500 0.500 0.500
0.000 0.500 0.500
0.500 0.000 0.500
0.500 0.500 0.000
```

Values from the calculation:
DFT formation energy in meV per atom: 1926
Space group: Pm-3m (221)

# 17
Below is a relaxed MgInRu2 crystal, with properties calculated at the PBEsol level.

Cell and atoms, written as POSCAR:
```
MgInRu2
1.0
-1.522 2.235 4.670
1.522 -2.235 4.670
1.522 2.235 -4.670
Mg In Ru
1 1 2
direct
0.000 0.000 0.000
0.725 0.225 0.500
0.250 0.750 0.500
0.474 0.474 0.000
```

Values from the calculation:
DFT formation energy in meV per atom: 128
Space group: Imm2 (44)

# 18
Below is a relaxed MgInS3 crystal, with properties calculated at the PBEsol level.

Cell and atoms, written as POSCAR:
```
MgInS3
1.0
4.935 0.000 0.000
0.000 4.935 0.000
0.000 0.000 4.935
Mg In S
1 1 3
direct
0.000 0.000 0.000
0.500 0.500 0.500
0.000 0.500 0.500
0.500 0.000 0.500
0.500 0.500 0.000
```

Values from the calculation:
Space group: Pm-3m (221)
Formation energy (no corrections) in meV per atom: 75.3

# 19
Below is a relaxed MgTiInS4 crystal, with properties calculated at the PBEsol level.

Cell and atoms, written as POSCAR:
```
MgTiInS4
1.0
-3.587 3.751 5.411
3.587 -3.751 5.411
3.587 3.751 -5.411
Mg Ti In S
2 2 2 8
direct
0.377 0.127 0.250
0.623 0.873 0.750
0.000 0.000 0.500
0.000 0.500 0.000
0.000 0.500 0.500
0.500 0.500 0.000
0.224 0.744 0.480
0.226 0.227 0.501
0.226 0.724 0.999
0.235 0.256 0.980
0.765 0.744 0.020
0.774 0.276 0.001
0.774 0.773 0.499
0.776 0.256 0.520
```

Values from the calculation:
Space group: Imma (74)
Formation energy (no corrections) in meV per atom: -1075.5

# 20
Below is a relaxed Mg2VIn3S8 crystal, with properties calculated at the PBEsol level.

Cell and atoms, written as POSCAR:
```
Mg2VIn3S8
1.0
3.762 2.172 6.094
-3.762 2.172 6.094
0.000 -4.344 6.094
Mg V In S
2 1 3 8
direct
0.124 0.124 0.124
0.876 0.876 0.876
0.500 0.500 0.500
0.000 0.500 0.500
0.500 0.000 0.500
0.500 0.500 0.000
0.257 0.257 0.257
0.270 0.270 0.723
0.270 0.723 0.270
0.277 0.730 0.730
0.723 0.270 0.270
0.730 0.277 0.730
0.730 0.730 0.277
0.743 0.743 0.743
```

Values from the calculation:
Space group: R-3m (166)
Formation energy (no corrections) in meV per atom: -856.1

# 21
Below is a relaxed MgIn2Sb crystal, with properties calculated at the PBEsol level.

Cell and atoms, written as POSCAR:
```
MgIn2Sb
1.0
-2.016 2.157 5.888
2.016 -2.157 5.888
2.016 2.157 -5.888
Mg In Sb
1 2 1
direct
0.000 0.000 0.000
0.291 0.791 0.500
0.709 0.209 0.500
0.500 0.500 0.000
```

Values from the calculation:
Space group: Immm (71)
Polymorph energy (0 for the lowest one) in eV per formula unit: 0.00
Formation energy (no corrections) in meV per atom: -88.2

# 22
Below is a relaxed MgIn2Sb crystal, with properties calculated at the PBEsol level.

Cell and atoms, written as POSCAR:
```
MgIn2Sb
1.0
0.000 3.708 3.708
3.708 0.000 3.708
3.708 3.708 0.000
Mg In Sb
1 2 1
direct
0.000 0.000 0.000
0.250 0.250 0.250
0.750 0.750 0.750
0.500 0.500 0.500
```

Values from the calculation:
Space group: Fm-3m (225)
Polymorph energy (0 for the lowest one) in eV per formula unit: 0.45
Formation energy (no corrections) in meV per atom: 23.9

# 23
Below is a relaxed MgIn2Sb crystal, with properties calculated at the PBEsol level.

Cell and atoms, written as POSCAR:
```
MgIn2Sb
1.0
4.313 0.000 0.000
0.000 4.336 0.000
0.000 0.000 5.341
Mg In Sb
1 2 1
direct
0.000 0.000 0.000
0.000 0.500 0.500
0.500 0.000 0.500
0.500 0.500 0.000
```

Values from the calculation:
Space group: Pmmm (47)
Polymorph energy (0 for the lowest one) in eV per formula unit: 0.01
Formation energy (no corrections) in meV per atom: -85.5

# 24
Below is a relaxed MgIn2Sb crystal, with properties calculated at the PBEsol level.

Cell and atoms, written as POSCAR:
```
MgIn2Sb
1.0
3.400 0.000 0.000
0.000 3.400 0.000
0.000 0.000 8.530
Mg In Sb
1 2 1
direct
0.000 0.000 0.000
0.500 0.500 0.238
0.500 0.500 0.762
0.000 0.000 0.500
```

Values from the calculation:
Space group: P4/mmm (123)
Polymorph energy (0 for the lowest one) in eV per formula unit: 0.33
Formation energy (no corrections) in meV per atom: -4.5

# 25
Below is a relaxed MgScIn crystal, with properties calculated at the PBEsol level.

Cell and atoms, written as POSCAR:
```
MgScIn
1.0
4.817 0.000 0.000
-2.409 4.172 0.000
0.000 0.000 3.272
Mg Sc In
1 1 1
direct
0.000 0.000 0.000
0.333 0.667 0.500
0.667 0.333 0.000
```

Values from the calculation:
DFT formation energy in meV per atom: -299
Space group: P-6m2 (187)

# 26
Below is a relaxed MgSc4In crystal, with properties calculated at the PBEsol level.

Cell and atoms, written as POSCAR:
```
MgSc4In
1.0
0.000 4.118 4.118
4.118 0.000 4.118
4.118 4.118 0.000
Mg Sc In
1 4 1
direct
0.000 0.000 0.000
0.126 0.625 0.625
0.625 0.126 0.625
0.625 0.625 0.126
0.625 0.625 0.625
0.250 0.250 0.250
```

Values from the calculation:
DFT formation energy in meV per atom: 117
Space group: F-43m (216)

# 27
Below is a relaxed MgScIn crystal, with properties calculated at the PBEsol level.

Cell and atoms, written as POSCAR:
```
MgScIn
1.0
3.267 0.000 0.000
-1.633 2.829 0.000
0.000 0.000 7.537
Mg Sc In
1 1 1
direct
0.000 0.000 0.000
0.333 0.667 0.654
0.667 0.333 0.329
```

Values from the calculation:
DFT formation energy in meV per atom: -99
Space group: P3m1 (156)

# 28
Below is a relaxed MgScIn crystal, with properties calculated at the PBEsol level.

Cell and atoms, written as POSCAR:
```
MgScIn
1.0
-1.613 1.613 6.373
1.613 -1.613 6.373
1.613 1.613 -6.373
Mg Sc In
1 1 1
direct
0.000 0.000 0.000
0.322 0.322 0.000
0.662 0.662 0.000
```

Values from the calculation:
DFT formation energy in meV per atom: -235
Space group: I4mm (107)

# 29
Below is a relaxed MgInSe2 crystal, with properties calculated at the PBEsol level.

Cell and atoms, written as POSCAR:
```
MgInSe2
1.0
-1.986 3.215 3.752
1.986 -3.215 3.752
1.986 3.215 -3.752
Mg In Se
1 1 2
direct
0.000 0.000 0.000
0.500 0.500 0.000
0.228 0.728 0.500
0.772 0.272 0.500
```

Values from the calculation:
Space group: Immm (71)
Formation energy (no corrections) in meV per atom: -495.1